Record 1
## Ca2TlGe2 (PBE)

Data for a geometry-optimized Ca2TlGe2 structure.

Computed properties:
M_tot (Bohr magnetons per cell): 0.0
D(E_F) (states/eV per cell): 5.188
ΔE_f (eV/atom): -0.2290
Calculated volume (Å³/cell): 148.3

```
data_Ca2TlGe2
_chemical_formula_sum 'Ca2 Tl1 Ge2'
_space_group_name_H-M_alt 'P 1'
_space_group_IT_number 1
_cell_length_a 6.770
_cell_length_b 6.770
_cell_length_c 6.770
_cell_angle_alpha 135.89
_cell_angle_beta 135.89
_cell_angle_gamma 64.14
loop_
_space_group_symop_operation_xyz
'x,y,z'
loop_
_atom_site_label
_atom_site_fract_x
_atom_site_fract_y
_atom_site_fract_z
Ca1 0.250 0.750 0.500
Ca2 0.750 0.250 0.500
Tl1 0.000 0.000 0.000
Ge1 0.397 0.397 0.000
Ge2 0.603 0.603 0.000
```

=====

Record 2
## Cs2CeGeS4 (PBE)

Data for a geometry-optimized Cs2CeGeS4 structure.

Computed properties:
Raw formation energy (eV per atom): -1.20
M_tot (Bohr magnetons per cell): 0.0
Calculated volume (Å³/cell): 237.1

```
data_Cs2CeGeS4
_chemical_formula_sum 'Cs2 Ce1 Ge1 S4'
_space_group_name_H-M_alt 'P 1'
_space_group_IT_number 1
_cell_length_a 7.156
_cell_length_b 4.179
_cell_length_c 8.274
_cell_angle_alpha 90.00
_cell_angle_beta 106.60
_cell_angle_gamma 90.00
loop_
_space_group_symop_operation_xyz
'x,y,z'
loop_
_atom_site_label
_atom_site_fract_x
_atom_site_fract_y
_atom_site_fract_z
Cs1 0.000 0.000 0.000
Cs2 0.500 0.500 0.000
Ce1 0.000 0.500 0.500
Ge1 0.500 0.000 0.500
S1 0.225 0.000 0.679
S2 0.266 0.500 0.324
S3 0.734 0.500 0.676
S4 0.775 0.000 0.321
```

=====

Record 3
## La2TeRu (PBE)

Data for a geometry-optimized La2TeRu structure.

Computed properties:
Raw formation energy (eV per atom): -0.57
M_tot (Bohr magnetons per cell): 0.0
D(E_F) (states/eV per cell): 2.710
Calculated volume (Å³/cell): 109.8

```
data_La2TeRu
_chemical_formula_sum 'La2 Te1 Ru1'
_space_group_name_H-M_alt 'P 1'
_space_group_IT_number 1
_cell_length_a 5.511
_cell_length_b 5.511
_cell_length_c 5.511
_cell_angle_alpha 131.12
_cell_angle_beta 114.32
_cell_angle_gamma 86.02
loop_
_space_group_symop_operation_xyz
'x,y,z'
loop_
_atom_site_label
_atom_site_fract_x
_atom_site_fract_y
_atom_site_fract_z
La1 0.216 0.216 0.000
La2 0.784 0.784 0.000
Te1 0.500 0.000 0.500
Ru1 0.000 0.500 0.500
```

=====

Record 4
## Re3Pd (PBE)

Data for a geometry-optimized Re3Pd structure.

Computed properties:
M_tot (Bohr magnetons per cell): 0.0
D(E_F) (states/eV per cell): 2.819
ΔE_f (eV/atom): 0.0484
Calculated volume (Å³/cell): 59.5

```
data_Re3Pd
_chemical_formula_sum 'Re3 Pd1'
_space_group_name_H-M_alt 'P 1'
_space_group_IT_number 1
_cell_length_a 2.768
_cell_length_b 4.442
_cell_length_c 4.841
_cell_angle_alpha 90.00
_cell_angle_beta 90.00
_cell_angle_gamma 90.00
loop_
_space_group_symop_operation_xyz
'x,y,z'
loop_
_atom_site_label
_atom_site_fract_x
_atom_site_fract_y
_atom_site_fract_z
Re1 0.000 0.000 0.000
Re2 0.000 0.500 0.323
Re3 0.500 0.500 0.822
Pd1 0.500 0.000 0.491
```

=====

Record 5
## CoIr4Pt (PBE)

Data for a geometry-optimized CoIr4Pt structure.

Computed properties:
M_tot (Bohr magnetons per cell): 4.2
D(E_F) (states/eV per cell): 11.680
ΔE_f (eV/atom): 0.6586
Calculated volume (Å³/cell): 95.4

```
data_CoIr4Pt
_chemical_formula_sum 'Co1 Ir4 Pt1'
_space_group_name_H-M_alt 'P 1'
_space_group_IT_number 1
_cell_length_a 5.129
_cell_length_b 5.129
_cell_length_c 5.129
_cell_angle_alpha 60.00
_cell_angle_beta 60.00
_cell_angle_gamma 60.00
loop_
_space_group_symop_operation_xyz
'x,y,z'
loop_
_atom_site_label
_atom_site_fract_x
_atom_site_fract_y
_atom_site_fract_z
Co1 0.000 0.000 0.000
Ir1 0.125 0.625 0.625
Ir2 0.625 0.125 0.625
Ir3 0.625 0.625 0.125
Ir4 0.625 0.625 0.625
Pt1 0.250 0.250 0.250
```

=====

Record 6
## Sc2FeH4 (PBE)

Data for a geometry-optimized Sc2FeH4 structure.

Computed properties:
Raw total energy (eV/atom): -5.307
M_tot (Bohr magnetons per cell): 2.0
D(E_F) (states/eV per cell): 4.180
Calculated volume (Å³/cell): 61.9

```
data_Sc2FeH4
_chemical_formula_sum 'Sc2 Fe1 H4'
_space_group_name_H-M_alt 'P 1'
_space_group_IT_number 1
_cell_length_a 6.062
_cell_length_b 6.062
_cell_length_c 6.062
_cell_angle_alpha 148.11
_cell_angle_beta 148.11
_cell_angle_gamma 45.72
loop_
_space_group_symop_operation_xyz
'x,y,z'
loop_
_atom_site_label
_atom_site_fract_x
_atom_site_fract_y
_atom_site_fract_z
Sc1 0.151 0.151 0.000
Sc2 0.849 0.849 0.000
Fe1 0.500 0.500 0.000
H1 0.000 0.500 0.500
H2 0.344 0.344 0.000
H3 0.500 0.000 0.500
H4 0.656 0.656 0.000
```

=====

Record 7
## Cs2CdHg4Au2 (PBE)

Data for a geometry-optimized Cs2CdHg4Au2 structure.

Computed properties:
M_tot (Bohr magnetons per cell): 0.0
D(E_F) (states/eV per cell): 2.528
ΔE_f (eV/atom): -0.1838
Calculated volume (Å³/cell): 285.0

```
data_Cs2CdHg4Au2
_chemical_formula_sum 'Cs2 Cd1 Hg4 Au2'
_space_group_name_H-M_alt 'P 1'
_space_group_IT_number 1
_cell_length_a 6.968
_cell_length_b 6.968
_cell_length_c 6.708
_cell_angle_alpha 90.38
_cell_angle_beta 90.38
_cell_angle_gamma 61.07
loop_
_space_group_symop_operation_xyz
'x,y,z'
loop_
_atom_site_label
_atom_site_fract_x
_atom_site_fract_y
_atom_site_fract_z
Cs1 0.153 0.153 0.146
Cs2 0.847 0.847 0.854
Cd1 0.500 0.500 0.000
Hg1 0.141 0.644 0.353
Hg2 0.356 0.859 0.647
Hg3 0.644 0.141 0.353
Hg4 0.859 0.356 0.647
Au1 0.324 0.324 0.697
Au2 0.676 0.676 0.303
```

=====

Record 8
## ZrNbGa2 (PBE)

Data for a geometry-optimized ZrNbGa2 structure.

Computed properties:
M_tot (Bohr magnetons per cell): 0.0
D(E_F) (states/eV per cell): 2.080
ΔE_f (eV/atom): -0.1785
Calculated volume (Å³/cell): 77.9

```
data_ZrNbGa2
_chemical_formula_sum 'Zr1 Nb1 Ga2'
_space_group_name_H-M_alt 'P 1'
_space_group_IT_number 1
_cell_length_a 3.791
_cell_length_b 3.791
_cell_length_c 6.696
_cell_angle_alpha 105.45
_cell_angle_beta 105.45
_cell_angle_gamma 58.19
loop_
_space_group_symop_operation_xyz
'x,y,z'
loop_
_atom_site_label
_atom_site_fract_x
_atom_site_fract_y
_atom_site_fract_z
Zr1 0.000 0.000 0.000
Nb1 0.500 0.500 0.500
Ga1 0.245 0.245 0.736
Ga2 0.755 0.755 0.264
```

=====

Record 9
## KRb2As2Pb (PBE)

Data for a geometry-optimized KRb2As2Pb structure.

Computed properties:
M_tot (Bohr magnetons per cell): 0.0
D(E_F) (states/eV per cell): 7.134
ΔE_f (eV/atom): -0.3285
Calculated volume (Å³/cell): 461.7

```
data_KRb2As2Pb
_chemical_formula_sum 'K2 Rb4 As4 Pb2'
_space_group_name_H-M_alt 'P 1'
_space_group_IT_number 1
_cell_length_a 9.715
_cell_length_b 9.715
_cell_length_c 9.715
_cell_angle_alpha 132.47
_cell_angle_beta 66.70
_cell_angle_gamma 136.08
loop_
_space_group_symop_operation_xyz
'x,y,z'
loop_
_atom_site_label
_atom_site_fract_x
_atom_site_fract_y
_atom_site_fract_z
K1 0.250 0.250 0.000
K2 0.750 0.750 0.000
Rb1 0.181 0.717 0.899
Rb2 0.319 0.217 0.536
Rb3 0.681 0.783 0.464
Rb4 0.819 0.283 0.101
As1 0.103 0.292 0.395
As2 0.397 0.792 0.190
As3 0.603 0.208 0.810
As4 0.897 0.708 0.605
Pb1 0.250 0.750 0.500
Pb2 0.750 0.250 0.500
```

=====

Record 10
## Ho3Ga3Hg (PBE)

Data for a geometry-optimized Ho3Ga3Hg structure.

Computed properties:
M_tot (Bohr magnetons per cell): 0.0
D(E_F) (states/eV per cell): 6.677
ΔE_f (eV/atom): -0.4311
Calculated volume (Å³/cell): 321.9

```
data_Ho3Ga3Hg
_chemical_formula_sum 'Ho6 Ga6 Hg2'
_space_group_name_H-M_alt 'P 1'
_space_group_IT_number 1
_cell_length_a 8.827
_cell_length_b 8.827
_cell_length_c 4.771
_cell_angle_alpha 90.00
_cell_angle_beta 90.00
_cell_angle_gamma 120.00
loop_
_space_group_symop_operation_xyz
'x,y,z'
loop_
_atom_site_label
_atom_site_fract_x
_atom_site_fract_y
_atom_site_fract_z
Ho1 0.098 0.433 0.250
Ho2 0.335 0.902 0.250
Ho3 0.433 0.335 0.750
Ho4 0.567 0.665 0.250
Ho5 0.665 0.098 0.750
Ho6 0.902 0.567 0.750
Ga1 0.040 0.204 0.750
Ga2 0.165 0.960 0.750
Ga3 0.204 0.165 0.250
Ga4 0.796 0.835 0.750
Ga5 0.835 0.040 0.250
Ga6 0.960 0.796 0.250
Hg1 0.333 0.667 0.750
Hg2 0.667 0.333 0.250
```

=====

Record 11
## La8Ru3Pt2 (PBE)

Data for a geometry-optimized La8Ru3Pt2 structure.

Computed properties:
M_tot (Bohr magnetons per cell): 0.0
D(E_F) (states/eV per cell): 8.005
ΔE_f (eV/atom): -0.5106
Calculated volume (Å³/cell): 405.6

```
data_La8Ru3Pt2
_chemical_formula_sum 'La8 Ru3 Pt2'
_space_group_name_H-M_alt 'P 1'
_space_group_IT_number 1
_cell_length_a 8.750
_cell_length_b 8.750
_cell_length_c 7.096
_cell_angle_alpha 109.82
_cell_angle_beta 109.82
_cell_angle_gamma 53.81
loop_
_space_group_symop_operation_xyz
'x,y,z'
loop_
_atom_site_label
_atom_site_fract_x
_atom_site_fract_y
_atom_site_fract_z
La1 0.101 0.101 0.419
La2 0.129 0.640 0.088
La3 0.360 0.871 0.912
La4 0.369 0.369 0.562
La5 0.631 0.631 0.438
La6 0.640 0.129 0.088
La7 0.871 0.360 0.912
La8 0.899 0.899 0.581
Ru1 0.000 0.000 0.000
Ru2 0.308 0.692 0.500
Ru3 0.692 0.308 0.500
Pt1 0.251 0.251 0.828
Pt2 0.749 0.749 0.172
```

=====

Record 12
## Si2BiAs2 (PBE)

Data for a geometry-optimized Si2BiAs2 structure.

Computed properties:
Raw formation energy (eV per atom): 0.44
M_tot (Bohr magnetons per cell): 0.0
D(E_F) (states/eV per cell): 5.220
Calculated volume (Å³/cell): 203.1

```
data_Si2BiAs2
_chemical_formula_sum 'Si4 Bi2 As4'
_space_group_name_H-M_alt 'P 1'
_space_group_IT_number 1
_cell_length_a 7.764
_cell_length_b 7.764
_cell_length_c 3.369
_cell_angle_alpha 90.00
_cell_angle_beta 90.00
_cell_angle_gamma 90.00
loop_
_space_group_symop_operation_xyz
'x,y,z'
loop_
_atom_site_label
_atom_site_fract_x
_atom_site_fract_y
_atom_site_fract_z
Si1 0.120 0.380 0.000
Si2 0.380 0.880 0.000
Si3 0.620 0.120 0.000
Si4 0.880 0.620 0.000
Bi1 0.000 0.000 0.000
Bi2 0.500 0.500 0.000
As1 0.154 0.654 0.500
As2 0.346 0.154 0.500
As3 0.654 0.846 0.500
As4 0.846 0.346 0.500
```